1.
First-principles (GGA-PBE) data for TmMg2PaS6 after structural relaxation, as listed in the Alexandria database.

Output
- calculated total energy (eV/atom) = -5.783
- space group = No. 146

Cell and atoms, written as CIF:
```
data_TmMg2PaS6
_cell_length_a 7.153
_cell_length_b 7.153
_cell_length_c 7.153
_cell_angle_alpha 55.26
_cell_angle_beta 55.26
_cell_angle_gamma 55.26
_symmetry_space_group_name_H-M 'P 1'
_symmetry_Int_Tables_number 1
loop_
_symmetry_equiv_pos_as_xyz
'x,y,z'
loop_
_atom_site_label
_atom_site_type_symbol
_atom_site_fract_x
_atom_site_fract_y
_atom_site_fract_z
Tm1 Tm 0.000 0.000 0.000
Mg1 Mg 0.302 0.302 0.302
Mg2 Mg 0.806 0.806 0.806
Pa1 Pa 0.496 0.496 0.496
S1 S 0.089 0.415 0.703
S2 S 0.212 0.906 0.589
S3 S 0.415 0.703 0.089
S4 S 0.589 0.212 0.906
S5 S 0.703 0.089 0.415
S6 S 0.906 0.589 0.212
```


2.
First-principles (GGA-PBE) data for Hg3AuO after structural relaxation, as listed in the Alexandria database.

Output
- calculated total energy (eV/atom) = -1.500
- space group = No. 221

Cell and atoms, written as CIF:
```
data_Hg3AuO
_cell_length_a 4.782
_cell_length_b 4.782
_cell_length_c 4.782
_cell_angle_alpha 90.00
_cell_angle_beta 90.00
_cell_angle_gamma 90.00
_symmetry_space_group_name_H-M 'P 1'
_symmetry_Int_Tables_number 1
loop_
_symmetry_equiv_pos_as_xyz
'x,y,z'
loop_
_atom_site_label
_atom_site_type_symbol
_atom_site_fract_x
_atom_site_fract_y
_atom_site_fract_z
Hg1 Hg 0.000 0.000 0.500
Hg2 Hg 0.000 0.500 0.000
Hg3 Hg 0.500 0.000 0.000
Au1 Au 0.500 0.500 0.500
O1 O 0.000 0.000 0.000
```


Number 1: E_form (uncorrected) -1591 meV/atom, V 230.3 Å³/cell, magnetization 0.0 μB per formula unit. Number 2: E_form (uncorrected) 328 meV/atom, V 109.3 Å³/cell, magnetization 0.0 μB per formula unit.